Material: CsSi3As
Method: DFT, PBE-GGA
State: relaxed

- M_tot: 0.00 μB/f.u.
- Uncorrected formation energy: 0.862 eV/atom
- Space group: Pm-3m, No. 221
- Fermi-level density of states: 0.68 states/eV per atom

Cell and atoms, written as POSCAR:
```
CsSi3As
1.0
5.1422 0.0000 0.0000
0.0000 5.1422 0.0000
0.0000 0.0000 5.1422
Cs Si As
1 3 1
direct
0.0000 0.0000 0.0000
0.0000 0.5000 0.5000
0.5000 0.0000 0.5000
0.5000 0.5000 0.0000
0.5000 0.5000 0.5000
```